LiCdIr2N PBE relaxed; E_form (uncorrected) = 1348 meV per atom; Fermi-level density of states = 2.3 states/eV/f.u.; DFT total energy = -0.163 Ha/atom
1.0
-0.673 -1.054 -4.292
0.812 -3.298 0.682
-4.294 -0.874 0.888
Ir Li N Cd
2 1 1 1
Cartesian
-0.336 -0.527 -2.146
-2.147 -0.437 0.444
0.000 0.000 0.000
0.406 -1.649 0.341
-2.077 -2.613 -1.361



Li5CdIrN2 PBE relaxed; E_form (uncorrected) = -230 meV per atom; Fermi-level density of states = 2.7 states/eV/f.u.; DFT total energy = -0.155 Ha/atom
1.0
4.225 0.000 0.000
0.000 4.225 0.000
0.000 0.000 7.708
Li N Cd Ir
5 2 1 1
Cartesian
0.000 2.112 1.634
0.000 2.112 6.074
0.000 0.000 3.854
2.112 0.000 6.074
2.112 0.000 1.634
0.000 0.000 1.871
0.000 0.000 5.837
2.112 2.112 3.854
0.000 0.000 0.000



LiNbCdIr PBE relaxed; energy relative to the elements = -0.17 eV per atom; Fermi-level density of states = 5.5 states/eV/f.u.; DFT total energy = -0.206 Ha/atom
1.0
-3.558 -1.564 2.283
-3.000 -2.666 -2.053
-0.242 -4.370 1.079
Nb Li Cd Ir
1 1 1 1
Cartesian
-1.700 -2.150 0.327
0.000 0.000 0.000
-5.100 -6.450 0.982
-3.400 -4.300 0.655



LiNdCdIr PBE relaxed; energy relative to the elements = -0.31 eV per atom; Fermi-level density of states = 2.4 states/eV/f.u.; DFT total energy = -0.163 Ha/atom
1.0
-2.944 2.197 -3.188
1.125 0.025 -4.732
-2.606 -2.655 -3.133
Cd Li Ir Nd
1 1 1 1
Cartesian
-3.318 -0.325 -8.289
0.000 0.000 0.000
-2.212 -0.216 -5.526
-1.106 -0.108 -2.763



LiCd2IrO6 PBE relaxed; E_form (uncorrected) = -925 meV per atom; Fermi-level density of states = 4.6 states/eV/f.u.; DFT total energy = -0.190 Ha/atom
1.0
-2.038 5.115 0.718
-5.434 0.770 0.843
-1.875 1.608 4.973
O Ir Cd Li
6 1 2 1
Cartesian
-5.691 3.056 5.028
-5.112 1.822 2.420
-2.865 3.068 4.206
-4.234 5.671 4.113
-3.656 4.436 1.506
-6.481 4.425 2.327
0.000 0.000 0.000
-7.125 5.712 4.981
-2.225 1.783 1.555
-4.674 3.747 3.267



Li2CdIrO6 PBE relaxed; E_form (uncorrected) = -1001 meV per atom; Fermi-level density of states = 5.2 states/eV/f.u.; DFT total energy = -0.196 Ha/atom
1.0
5.300 0.000 -0.070
0.000 5.379 0.000
-0.054 0.000 7.803
Li O Cd Ir
4 12 2 2
Cartesian
0.120 0.180 5.765
2.448 2.869 5.904
2.797 2.509 1.829
5.125 5.199 1.968
4.655 3.203 1.674
0.591 2.176 6.059
4.312 4.658 4.294
1.977 4.865 5.611
0.593 1.020 0.650
3.268 0.513 2.122
4.653 4.359 7.083
2.030 3.709 3.217
0.934 0.721 3.439
1.689 3.410 0.427
3.556 1.968 7.306
3.216 1.670 4.516
-0.027 2.689 3.901
2.650 0.000 -0.035
2.623 0.000 3.867
0.000 2.689 0.000



LiCd2IrO5 PBE relaxed; E_form (uncorrected) = -797 meV per atom; Fermi-level density of states = 5.2 states/eV/f.u.; DFT total energy = -0.182 Ha/atom
1.0
3.686 0.000 0.000
0.000 5.735 0.000
-1.843 -2.867 5.754
Cd O Li Ir
2 5 1 1
Cartesian
1.843 2.867 3.155
0.000 0.000 2.599
1.843 1.334 1.515
0.000 -1.533 4.239
0.000 0.000 0.000
1.843 4.401 1.515
0.000 1.533 4.239
0.000 2.867 0.000
1.843 0.000 0.000



LiCdIrPb PBE relaxed; energy relative to the elements = -0.08 eV per atom; Fermi-level density of states = 2.2 states/eV/f.u.; DFT total energy = -0.144 Ha/atom
1.0
4.711 0.000 0.000
2.356 4.080 0.000
2.356 1.360 3.847
Ir Li Pb Cd
1 1 1 1
Cartesian
4.711 2.720 1.923
0.000 0.000 0.000
2.356 1.360 0.962
7.067 4.080 2.885



LiPmCdIr PBE relaxed; energy relative to the elements = -0.33 eV per atom; Fermi-level density of states = 2.4 states/eV/f.u.; DFT total energy = -0.163 Ha/atom
1.0
4.842 0.000 0.000
2.421 4.194 0.000
2.421 1.398 3.954
Li Pm Cd Ir
1 1 1 1
Cartesian
0.000 0.000 0.000
2.421 1.398 0.988
7.263 4.194 2.965
4.842 2.796 1.977



LiPuCdIr PBE relaxed; energy relative to the elements = -0.17 eV per atom; Fermi-level density of states = 11.3 states/eV/f.u.; DFT total energy = -0.245 Ha/atom
1.0
-2.005 -3.953 1.790
0.645 -1.135 4.599
-3.638 0.351 3.081
Li Ir Cd Pu
1 1 1 1
Cartesian
-1.250 -1.184 2.367
-3.749 -3.553 7.102
0.000 0.000 0.000
-2.499 -2.368 4.735



RbLiCd2Ir PBE relaxed; energy relative to the elements = 0.07 eV per atom; Fermi-level density of states = 2.3 states/eV/f.u.; DFT total energy = -0.097 Ha/atom
1.0
5.315 0.000 0.000
0.000 5.315 0.000
0.000 0.000 5.005
Li Ir Cd Rb
1 1 2 1
Cartesian
0.000 0.000 2.502
0.000 0.000 0.000
2.658 0.000 0.000
0.000 2.658 0.000
2.658 2.658 2.502



Li2CdIrRh PBE relaxed; energy relative to the elements = 0.42 eV per atom; Fermi-level density of states = 2.1 states/eV/f.u.; DFT total energy = -0.139 Ha/atom
1.0
-1.254 -4.368 0.317
4.051 -0.997 2.289
-2.035 0.873 3.981
Cd Li Rh Ir
1 2 1 1
Cartesian
0.381 -2.246 3.294
-0.627 -2.184 0.159
-1.017 0.437 1.991
2.026 -0.498 1.145
0.000 0.000 0.000